PBE with a Hubbard U CrSeN2F, optimized geometry; ρ = 4.30 Mg/m³; SG = P4/mmm (123); energy above the lowest structure with this stoichiometry = 1358.9 meV/atom
1.0
4.069 0.000 0.000
0.000 4.069 0.000
0.000 0.000 4.155
N Cr Se F
2 1 1 1
Direct
0.500 0.000 0.000
0.000 0.500 0.000
0.500 0.500 0.500
0.000 0.000 0.500
0.000 0.000 0.000